# 1
A geometry-optimized Ba2Ga2Pb structure. Source: Alexandria, functional PBE.

ΔE_f (eV/atom): -0.0896

Cell lengths 5.4242, 5.4242, 12.5921 Å; angles 90.00, 90.00, 90.00 degrees
With the nearest neighbours (Å) after each atom.
Space group I4/mmm (No. 139)
Symmetry-distinct sites (fractional):
1 Ba 0.0000 0.5000 0.2500 (multiplicity 4)  4 Ga 3.36
2 Ga 0.0000 0.0000 0.0930 (multiplicity 4)  1 Ga 2.34
3 Pb 0.0000 0.0000 0.5000 (multiplicity 2)  8 Ga 4.01, 8 Ba 4.16

---

# 2
A geometry-optimized SrY3Pt structure. Source: Alexandria, functional PBE.

ΔE_f (eV/atom): -0.4065

Cell lengths 5.5822, 5.5822, 5.5822 Å; angles 90.00, 90.00, 90.00 degrees
With the nearest neighbours (Å) after each atom.
Space group Pm-3m (No. 221)
Symmetry-distinct sites (fractional):
1 Sr 0.0000 0.0000 0.0000 (multiplicity 1)  12 Y 3.95
2 Y 0.0000 0.5000 0.5000 (multiplicity 3)  2 Pt 2.79
3 Pt 0.5000 0.5000 0.5000 (multiplicity 1)  6 Y 2.79

---

# 3
A geometry-optimized Li2CdIrC structure. Source: Alexandria, functional PBE.

ΔE_f (eV/atom): -0.0512

Cell lengths 4.2013, 4.2013, 3.9024 Å; angles 90.00, 90.00, 90.00 degrees
With the nearest neighbours (Å) after each atom.
Space group P4/mmm (No. 123)
Symmetry-distinct sites (fractional):
1 Li 0.0000 0.5000 0.0000 (multiplicity 2)  2 C 2.10
2 Cd 0.0000 0.0000 0.5000 (multiplicity 1)  8 Li 2.87, 4 Ir 2.97
3 Ir 0.5000 0.5000 0.5000 (multiplicity 1)  2 C 1.95
4 C 0.5000 0.5000 0.0000 (multiplicity 1)  2 Ir 1.95, 4 Li 2.10

---

# 4
A geometry-optimized SrZn2Cd structure. Source: Alexandria, functional PBE.

ΔE_f (eV/atom): -0.0493

Cell lengths 4.9884, 4.9884, 18.6560 Å; angles 90.00, 90.00, 90.00 degrees
With the nearest neighbours (Å) after each atom.
Space group I-42d (No. 122)
Symmetry-distinct sites (fractional):
1 Sr 0.0000 0.0000 0.0000 (multiplicity 4)  4 Cd 3.53, 8 Zn 3.57-3.71
2 Zn 0.0206 0.2500 0.6250 (multiplicity 8)  2 Zn 2.50, 2 Cd 2.65
3 Cd 0.0000 0.0000 0.5000 (multiplicity 4)  4 Zn 2.65

---

# 5
A geometry-optimized LiMo2Br structure. Source: Alexandria, functional PBE.

Energy relative to the elements, uncorrected (eV/atom): 0.14

Cell lengths 5.7452, 3.2427, 8.6175 Å; angles 90.00, 106.66, 90.00 degrees
With the nearest neighbours (Å) after each atom.
Space group Cm (No. 8)
Symmetry-distinct sites (fractional):
1 Li 0.0000 0.0000 0.0000 (multiplicity 2)  3 Br 2.51-2.55
2 Mo 0.0713 0.5000 0.5065 (multiplicity 2)  3 Mo 2.47-2.48
3 Mo 0.3156 0.5000 0.3130 (multiplicity 2)  3 Mo 2.47-2.48
4 Br 0.2367 0.0000 0.7957 (multiplicity 2)  3 Li 2.51-2.55

---

# 6
A geometry-optimized Cs2LaReI6 structure. Source: Alexandria, functional PBE.

Energy relative to the elements, uncorrected (eV/atom): -0.79

Cell lengths 11.8124, 11.8124, 11.8124 Å; angles 90.00, 90.00, 90.00 degrees
With the nearest neighbours (Å) after each atom.
Space group Fm-3m (No. 225)
Symmetry-distinct sites (fractional):
1 Cs 0.2500 0.2500 0.2500 (multiplicity 8)  12 I 4.18
2 La 0.0000 0.0000 0.0000 (multiplicity 4)  6 I 3.15
3 Re 0.0000 0.0000 0.5000 (multiplicity 4)  6 I 2.76
4 I 0.0000 0.0000 0.2667 (multiplicity 24)  1 Re 2.76

---

# 7
A geometry-optimized Re2PRh structure. Source: Alexandria, functional PBE.

ΔE_f (eV/atom): 0.3124

Cell lengths 5.1064, 7.9591, 2.8066 Å; angles 90.00, 90.00, 90.00 degrees
With the nearest neighbours (Å) after each atom.
Space group Cmmm (No. 65)
Symmetry-distinct sites (fractional):
1 Re 0.2500 0.2500 0.0000 (multiplicity 4)  4 Re 2.55-2.81, 4 Rh 2.75, 4 P 2.75
2 P 0.0000 0.0000 0.5000 (multiplicity 2)  2 Rh 2.55, 8 Re 2.75, 2 P 2.81
3 Rh 0.0000 0.5000 0.5000 (multiplicity 2)  2 P 2.55, 8 Re 2.75, 2 Rh 2.81

---

# 8
A geometry-optimized LaZrW4 structure. Source: Alexandria, functional PBE.

ΔE_f (eV/atom): 0.2227

Cell lengths 7.8272, 7.8272, 7.8272 Å; angles 90.00, 90.00, 90.00 degrees
With the nearest neighbours (Å) after each atom.
Space group F-43m (No. 216)
Symmetry-distinct sites (fractional):
1 La 0.0000 0.0000 0.0000 (multiplicity 4)  12 W 3.24, 4 Zr 3.39
2 Zr 0.2500 0.2500 0.2500 (multiplicity 4)  12 W 3.25, 4 La 3.39
3 W 0.1252 0.1252 0.6252 (multiplicity 16)  6 W 2.76-2.77

---

# 9
A geometry-optimized BaNaAuF6 structure. Source: Alexandria, functional PBE.

Energy relative to the elements, uncorrected (eV/atom): -2.35

Cell lengths 4.9525, 5.8988, 6.1592 Å; angles 91.91, 96.15, 110.37 degrees
With the nearest neighbours (Å) after each atom.
Space group P1 (No. 1)
Symmetry-distinct sites (fractional):
1 Ba 0.0000 0.0000 0.0000 (multiplicity 1)  4 F 2.47-2.73
2 Na 0.3461 0.7302 0.5191 (multiplicity 1)  4 F 2.18-2.37
3 Au 0.7089 0.3438 0.5047 (multiplicity 1)  4 F 1.97-1.98
4 F 0.0080 0.6780 0.2444 (multiplicity 1)  1 Na 2.18
5 F 0.0612 0.3513 0.6930 (multiplicity 1)  1 Au 1.97
6 F 0.3636 0.3501 0.3167 (multiplicity 1)  1 Au 1.97
7 F 0.4620 0.9831 0.8289 (multiplicity 1)  1 Na 2.27
8 F 0.6762 0.0395 0.3426 (multiplicity 1)  1 Au 1.97
9 F 0.7377 0.6449 0.6715 (multiplicity 1)  1 Au 1.98

---

# 10
A geometry-optimized LiYN2 structure. Source: Alexandria, functional PBE.

Energy relative to the elements, uncorrected (eV/atom): -0.18

Cell lengths 3.9492, 3.9492, 12.0425 Å; angles 90.00, 90.00, 90.00 degrees
With the nearest neighbours (Å) after each atom.
Space group I-42d (No. 122)
Symmetry-distinct sites (fractional):
1 Li 0.0000 0.0000 0.0000 (multiplicity 4)  4 N 1.82
2 Y 0.0000 0.0000 0.5000 (multiplicity 4)  4 N 2.46
3 N 0.0738 0.2500 0.1250 (multiplicity 8)  2 Li 1.82

---

# 11
A geometry-optimized Na2AgBr6 structure. Source: Alexandria, functional PBE.

Energy relative to the elements, uncorrected (eV/atom): -0.65

Cell lengths 7.9048, 7.5960, 11.9994 Å; angles 90.00, 129.29, 90.00 degrees
With the nearest neighbours (Å) after each atom.
Space group P2_1/c (No. 14)
Symmetry-distinct sites (fractional):
1 Na 0.2105 0.0042 0.2130 (multiplicity 4)  5 Br 2.96-3.06
2 Ag 0.5000 0.0000 0.0000 (multiplicity 2)  4 Br 2.57-2.67
3 Br 0.1314 0.6495 0.2731 (multiplicity 4)  1 Ag 2.67, 1 Br 2.80, 1 Na 2.96
4 Br 0.1957 0.2235 0.5194 (multiplicity 4)  1 Br 2.80, 1 Na 3.06
5 Br 0.4462 0.7207 0.6372 (multiplicity 4)  1 Ag 2.57

---

# 12
A geometry-optimized YInSe3 structure. Source: Alexandria, functional PBE.

Energy relative to the elements, uncorrected (eV/atom): -1.09

Cell lengths 4.5312, 4.5312, 16.5622 Å; angles 90.00, 90.00, 120.00 degrees
With the nearest neighbours (Å) after each atom.
Space group P6_3/mmc (No. 194)
Symmetry-distinct sites (fractional):
1 Y 0.0000 0.0000 0.0000 (multiplicity 2)  6 Se 2.94
2 In 0.3333 0.6667 0.2500 (multiplicity 2)  5 Se 2.62-2.79
3 Se 0.0000 0.0000 0.2500 (multiplicity 2)  3 In 2.62
4 Se 0.3333 0.6667 0.0816 (multiplicity 4)  1 In 2.79, 3 Y 2.94

---

# 13
A geometry-optimized Pr2USb3Rh4 structure. Source: Alexandria, functional PBE.

Energy relative to the elements, uncorrected (eV/atom): -0.75

Cell lengths 4.4615, 4.4615, 11.2598 Å; angles 90.00, 90.00, 90.00 degrees
With the nearest neighbours (Å) after each atom.
Space group P-4m2 (No. 115)
Symmetry-distinct sites (fractional):
1 Pr 0.0000 0.5000 0.2251 (multiplicity 2)  4 Sb 3.33, 8 Rh 3.38-3.51
2 U 0.0000 0.0000 0.5000 (multiplicity 1)  4 Rh 2.72
3 Sb 0.0000 0.5000 0.8698 (multiplicity 2)  5 Rh 2.61-2.67
4 Sb 0.5000 0.5000 0.5000 (multiplicity 1)  4 Rh 2.72
5 Rh 0.0000 0.0000 0.0000 (multiplicity 1)  4 Sb 2.67
6 Rh 0.0000 0.5000 0.6384 (multiplicity 2)  3 Sb 2.61-2.72, 2 U 2.72
7 Rh 0.5000 0.5000 0.0000 (multiplicity 1)  4 Sb 2.67